# 1
NdNi6As4: relaxed, PBE-GGA.

```
11
Lattice="-2.522 -0.018 -2.895 -0.148 -6.880 0.171 -4.419 3.634 3.828" Properties=species:S:1:pos:R:3 pbc="T T T"
Nd 0.000 0.000 0.000
Ni -0.418 -3.425 0.385
Ni -4.859 -1.173 1.694
Ni -2.120 -2.026 1.859
Ni -2.177 -4.675 1.925
Ni -4.802 1.464 1.629
Ni -3.108 0.071 0.162
As -4.118 -3.329 1.062
As -2.158 -1.935 -0.654
As -2.221 -4.889 -0.581
As -2.996 0.129 2.609
```

Results
**Total magnetic moment**: 0.00 μB per formula unit
**Raw total energy**: -5.744 eV per atom
**Calculated formation energy**: -5.13 eV per formula unit

***

# 2
NdNiAs2: relaxed, PBE-GGA.

```
4
Lattice="4.069 0.003 0.000 0.001 4.069 -0.001 -2.035 -2.035 4.857" Properties=species:S:1:pos:R:3 pbc="T T T"
Nd 0.436 3.122 1.107
Ni 0.436 1.087 3.536
As 2.471 1.089 2.419
As 0.437 -0.947 4.653
```

Results
**Total magnetic moment**: 0.00 μB per formula unit
**Raw total energy**: -5.852 eV per atom
**Calculated formation energy**: -3.56 eV per formula unit

***

# 3
NdNi6As2: relaxed, PBE-GGA.

```
9
Lattice="4.071 0.000 0.000 0.000 4.071 0.000 0.000 0.000 7.809" Properties=species:S:1:pos:R:3 pbc="T T T"
Nd 0.000 0.000 0.000
Ni 0.000 2.035 2.511
Ni 2.035 0.000 2.511
Ni 0.000 2.035 5.298
Ni 2.035 0.000 5.298
Ni 2.035 2.035 3.905
Ni 0.000 0.000 3.905
As 2.035 2.035 1.372
As 2.035 2.035 6.438
```

Results
**Total magnetic moment**: 1.49 μB per formula unit
**Raw total energy**: -5.781 eV per atom
**Calculated formation energy**: -3.28 eV per formula unit

***

# 4
NdNi5As3: relaxed, PBE-GGA.

```
18
Lattice="-2.263 2.937 0.562 -3.426 -5.251 1.137 3.252 0.336 11.349" Properties=species:S:1:pos:R:3 pbc="T T T"
Nd -1.777 -0.840 9.753
Nd -0.660 -1.139 3.296
Ni -2.511 -0.697 6.049
Ni 1.257 -1.160 11.129
Ni 1.626 0.168 5.675
Ni 0.000 0.000 0.000
Ni -3.637 -3.361 2.922
Ni 1.200 1.382 10.127
Ni 0.516 1.312 7.739
Ni -3.694 -0.819 1.919
Ni 0.074 -1.282 6.999
Ni -2.953 -3.291 5.309
As -0.351 -2.551 11.928
As -3.830 -1.362 4.211
As -1.691 -2.689 7.249
As -0.746 0.711 5.799
As 1.393 -0.617 8.838
As -2.086 0.572 1.121
```

Results
**Total magnetic moment**: 0.00 μB per formula unit
**Raw total energy**: -5.857 eV per atom
**Calculated formation energy**: -5.09 eV per formula unit

***

Which formula does entry 4 have?
NdNi5As3

***

What is the raw total energy in the second record?
-5.852 eV per atom

***

Copy entry 3 word for word.
NdNi6As2: relaxed, PBE-GGA.

```
9
Lattice="4.071 0.000 0.000 0.000 4.071 0.000 0.000 0.000 7.809" Properties=species:S:1:pos:R:3 pbc="T T T"
Nd 0.000 0.000 0.000
Ni 0.000 2.035 2.511
Ni 2.035 0.000 2.511
Ni 0.000 2.035 5.298
Ni 2.035 0.000 5.298
Ni 2.035 2.035 3.905
Ni 0.000 0.000 3.905
As 2.035 2.035 1.372
As 2.035 2.035 6.438
```

Results
**Total magnetic moment**: 1.49 μB per formula unit
**Raw total energy**: -5.781 eV per atom
**Calculated formation energy**: -3.28 eV per formula unit